# 1
VASP calculation (PBE-GGA) on a relaxed structure of BeNbGe.

Properties
- E (eV per atom) = -5.924
- ΔH_f (0 K) (eV per formula unit) = 0.64

Cell lengths 4.5196, 4.5196, 4.5196 Å; angles 134.98, 134.98, 65.56 degrees
Closest atoms and distances in Å follow each position.
Positions (direct):
1 Be 0.0000 0.0000 0.0000  1 Ge 2.25
2 Nb 0.6387 0.6387 0.0000  5 Ge 2.60-2.72, 5 Be 2.66-2.75
3 Ge 0.2964 0.2964 0.0000  1 Be 2.25

# 2
VASP calculation (PBE-GGA) on a relaxed structure of BeNb2Ge.

Properties
- E (eV per atom) = -7.161
- excess energy over the best structure of this formula in the dataset (meV per atom) = 426.7
- ΔH_f (0 K) (eV per formula unit) = -0.16

Cell lengths 6.2699, 6.2699, 6.2699 Å; angles 32.75, 32.75, 32.75 degrees
Closest atoms and distances in Å follow each position.
Positions (direct):
1 Be 0.0000 0.0000 0.0000  6 Nb 2.45
2 Nb 0.2569 0.2569 0.2569  3 Be 2.45, 3 Ge 2.60
3 Nb 0.7431 0.7431 0.7431  3 Be 2.45, 3 Ge 2.60
4 Ge 0.5000 0.5000 0.5000  6 Nb 2.60